1.
Entry from the Alexandria database: a geometry-optimized NdZn4Ir structure (PBE).

Structure (CIF):
```
data_NdZn4Ir
_cell_length_a 7.352
_cell_length_b 7.352
_cell_length_c 7.352
_cell_angle_alpha 90.00
_cell_angle_beta 90.00
_cell_angle_gamma 90.00
_space_group_name_H-M_alt 'F -4 3 m'
_space_group_IT_number 216
_space_group_name_Hall 'F -4 2 3'
loop_
_atom_site_label
_atom_site_fract_x
_atom_site_fract_y
_atom_site_fract_z
Nd1 0.000 0.000 0.000
Zn1 0.123 0.123 0.623
Ir1 0.250 0.250 0.250
```

Energy relative to the elements ... -7.81 kcal/mol of atoms
Total magnetization ... 0.000 μB/atom
Polymorph energy (0 for the lowest one) ... 0 meV per atom

***

2.
Entry from the Alexandria database: a geometry-optimized La2HfMn structure (PBE).

Structure (CIF):
```
data_La2HfMn
_cell_length_a 8.437
_cell_length_b 8.437
_cell_length_c 6.050
_cell_angle_alpha 90.00
_cell_angle_beta 90.00
_cell_angle_gamma 90.00
_space_group_name_H-M_alt 'I -4 2 d'
_space_group_IT_number 122
_space_group_name_Hall 'I -4 2bw'
loop_
_atom_site_label
_atom_site_fract_x
_atom_site_fract_y
_atom_site_fract_z
La1 0.198 0.750 0.125
Hf1 0.000 0.000 0.500
Mn1 0.000 0.000 0.000
```

Energy relative to the elements ... 14.38 kcal/mol of atoms
Total magnetization ... 0.582 μB/atom
Polymorph energy (0 for the lowest one) ... 217 meV per atom

***

3.
Entry from the Alexandria database: a geometry-optimized PmAs2RuRh5 structure (PBE).

Structure (CIF):
```
data_PmAs2RuRh5
_cell_length_a 3.964
_cell_length_b 3.964
_cell_length_c 11.034
_cell_angle_alpha 90.00
_cell_angle_beta 90.00
_cell_angle_gamma 90.00
_space_group_name_H-M_alt 'P 4/m m m'
_space_group_IT_number 123
_space_group_name_Hall '-P 4 2'
loop_
_atom_site_label
_atom_site_fract_x
_atom_site_fract_y
_atom_site_fract_z
Pm1 0.000 0.000 0.000
As1 0.500 0.500 0.217
Ru1 0.500 0.500 0.500
Rh1 0.000 0.500 0.354
Rh2 0.500 0.500 0.000
```

Energy relative to the elements ... -1.67 kcal/mol of atoms
Total magnetization ... 0.001 μB/atom

***

4.
Entry from the Alexandria database: a geometry-optimized Zr2BeZn structure (PBE).

Structure (CIF):
```
data_Zr2BeZn
_cell_length_a 3.259
_cell_length_b 4.618
_cell_length_c 4.618
_cell_angle_alpha 90.00
_cell_angle_beta 90.00
_cell_angle_gamma 90.00
_space_group_name_H-M_alt 'P m m 2'
_space_group_IT_number 25
_space_group_name_Hall 'P 2 -2'
loop_
_atom_site_label
_atom_site_fract_x
_atom_site_fract_y
_atom_site_fract_z
Zr1 0.000 0.000 0.000
Zr2 0.000 0.500 0.499
Be1 0.500 0.500 0.998
Zn1 0.500 0.000 0.501
```

Energy relative to the elements ... -3.65 kcal/mol of atoms
Total magnetization ... 0.000 μB/atom
Polymorph energy (0 for the lowest one) ... 18 meV per atom

***

5.
Entry from the Alexandria database: a geometry-optimized LaNd2Ge structure (PBE).

Structure (CIF):
```
data_LaNd2Ge
_cell_length_a 3.9772
_cell_length_b 3.9772
_cell_length_c 31.9928
_cell_angle_alpha 90.00
_cell_angle_beta 90.00
_cell_angle_gamma 120.00
_space_group_name_H-M_alt 'R -3 m'
_space_group_IT_number 166
_space_group_name_Hall '-R 3 2"'
loop_
_atom_site_label
_atom_site_fract_x
_atom_site_fract_y
_atom_site_fract_z
La1 0.0000 0.0000 0.0000
Nd1 0.0000 0.0000 0.1117
Ge1 0.0000 0.0000 0.5000
```

Energy relative to the elements ... -1.84 kcal/mol of atoms
Total magnetization ... 0.133 μB/atom
Polymorph energy (0 for the lowest one) ... 368 meV per atom

***

Question: Which formula does entry 1 have?
Answer: NdZn4Ir